{"formula": "KBaV", "functional": "PBE", "state": "relaxed", "cell": [[6.3352, 0.0000, 0.0000], [-3.1676, 5.4864, 0.0000], [0.0000, 0.0000, 7.4482]], "species": ["K", "K", "Ba", "Ba", "V", "V"], "frac_coords": [[0.0000, 0.0000, 0.0000], [0.0000, 0.0000, 0.5000], [0.3333, 0.6667, 0.2500], [0.6667, 0.3333, 0.7500], [0.3333, 0.6667, 0.7500], [0.6667, 0.3333, 0.2500]], "sg": "No. 194", "formation_enthalpy_0k_mev_per_atom": 931, "total_magnetization_mub_per_fu": 4.85}



{"formula": "KBaV", "functional": "PBE", "state": "relaxed", "cell": [[4.4856, 0.0000, 0.0000], [-0.0068, 6.3289, 0.0000], [-0.0057, -3.1630, 9.7961]], "species": ["K", "K", "Ba", "Ba", "V", "V"], "frac_coords": [[0.0000, 0.0000, 0.0000], [0.4997, 0.4135, 0.8272], [0.0000, 0.2437, 0.4885], [0.4995, 0.6489, 0.2983], [0.2102, 0.8111, 0.6224], [0.8063, 0.8098, 0.6217]], "sg": "No. 1", "formation_enthalpy_0k_mev_per_atom": 627, "total_magnetization_mub_per_fu": 0.00}



{"formula": "KBaV", "functional": "PBE", "state": "relaxed", "cell": [[4.0514, 0.0000, 0.0000], [0.0000, 7.0057, 0.0000], [0.0000, 0.0000, 17.7510]], "species": ["K", "K", "K", "K", "Ba", "Ba", "Ba", "Ba", "V", "V", "V", "V"], "frac_coords": [[0.2487, 0.2500, 0.1655], [0.2513, 0.7500, 0.6655], [0.7487, 0.2500, 0.3345], [0.7513, 0.7500, 0.8345], [0.2491, 0.2500, 0.5724], [0.2509, 0.7500, 0.0724], [0.7491, 0.2500, 0.9276], [0.7509, 0.7500, 0.4276], [0.2494, 0.2500, 0.7714], [0.2506, 0.7500, 0.2714], [0.7494, 0.2500, 0.7286], [0.7506, 0.7500, 0.2286]], "sg": "No. 62", "formation_enthalpy_0k_mev_per_atom": 774, "total_magnetization_mub_per_fu": 0.72}



{"formula": "KBa3V", "functional": "PBE", "state": "relaxed", "cell": [[6.7545, 0.0000, 0.0000], [0.0000, 6.7545, 0.0000], [0.0000, 0.0000, 6.7545]], "species": ["K", "Ba", "Ba", "Ba", "V"], "frac_coords": [[0.0000, 0.0000, 0.0000], [0.0000, 0.5000, 0.5000], [0.5000, 0.0000, 0.5000], [0.5000, 0.5000, 0.0000], [0.5000, 0.5000, 0.5000]], "sg": "No. 221", "formation_enthalpy_0k_mev_per_atom": 515, "total_magnetization_mub_per_fu": 5.13}



E for every record listed, in sequence, given in Ha/atom: -0.1145 -0.1257 -0.1203 -0.0986.